K2SiAs, relaxed, DFT GGA-PBE; crystal system = tetragonal; raw total energy = -3.03 eV/atom; uncorrected formation energy = 0.04 eV per atom; energy relative to the lowest polymorph listed for this composition = 271 meV per atom; space-group type = I-42d, No. 122
1.0
-6.388 6.388 2.440
6.388 -6.388 2.440
6.388 6.388 -2.440
K Si As
4 2 2
direct
0.375 0.150 0.275
0.850 0.125 0.225
0.875 0.100 0.725
0.900 0.625 0.775
0.250 0.750 0.500
0.500 0.500 0.000
0.000 0.000 0.000
0.750 0.250 0.500